Entry 1:
# PBEsol CrSiPt4, relaxed
data_CrSiPt4
_chemical_formula_sum 'Cr4 Si4 Pt16'
_cell_length_a 7.330
_cell_length_b 7.330
_cell_length_c 7.330
_cell_angle_alpha 90.00
_cell_angle_beta 90.00
_cell_angle_gamma 90.00
_space_group_name_H-M_alt 'F -4 3 m'
_space_group_IT_number 216
_space_group_name_Hall 'F -4 2 3'
loop_
_atom_site_label
_atom_site_type_symbol
_atom_site_fract_x
_atom_site_fract_y
_atom_site_fract_z
Cr1 Cr 0.000 0.000 0.000
Si1 Si 0.250 0.250 0.250
Pt1 Pt 0.125 0.125 0.625
# Formation energy without anion corrections   0.2398 eV/atom

***

Entry 2:
# PBEsol AuS2BrCl, relaxed
data_AuS2BrCl
_chemical_formula_sum 'Au1 S2 Br1 Cl1'
_cell_length_a 4.874
_cell_length_b 4.874
_cell_length_c 4.743
_cell_angle_alpha 90.00
_cell_angle_beta 90.00
_cell_angle_gamma 90.00
_space_group_name_H-M_alt 'P 4/m m m'
_space_group_IT_number 123
_space_group_name_Hall '-P 4 2'
loop_
_atom_site_label
_atom_site_type_symbol
_atom_site_fract_x
_atom_site_fract_y
_atom_site_fract_z
Au1 Au 0.000 0.000 0.000
S1 S 0.000 0.500 0.500
Br1 Br 0.500 0.500 0.500
Cl1 Cl 0.500 0.500 0.000
# Formation energy without anion corrections   1.0835 eV/atom

***

Entry 3:
# PBEsol Ti2ZnB, relaxed
data_Ti2ZnB
_chemical_formula_sum 'Ti8 Zn4 B4'
_cell_length_a 6.500
_cell_length_b 6.500
_cell_length_c 5.156
_cell_angle_alpha 90.00
_cell_angle_beta 90.00
_cell_angle_gamma 90.00
_space_group_name_H-M_alt 'I -4 2 d'
_space_group_IT_number 122
_space_group_name_Hall 'I -4 2bw'
loop_
_atom_site_label
_atom_site_type_symbol
_atom_site_fract_x
_atom_site_fract_y
_atom_site_fract_z
Ti1 Ti 0.209 0.750 0.125
Zn1 Zn 0.000 0.000 0.500
B1 B 0.000 0.000 0.000
# Energy of formation from the pure elements   125 meV/atom

***

Entry 4:
# PBEsol La2TaReRu, relaxed
data_La2TaReRu
_chemical_formula_sum 'La2 Ta1 Re1 Ru1'
_cell_length_a 5.285
_cell_length_b 5.285
_cell_length_c 4.829
_cell_angle_alpha 90.00
_cell_angle_beta 90.00
_cell_angle_gamma 90.00
_space_group_name_H-M_alt 'P 4/m m m'
_space_group_IT_number 123
_space_group_name_Hall '-P 4 2'
loop_
_atom_site_label
_atom_site_type_symbol
_atom_site_fract_x
_atom_site_fract_y
_atom_site_fract_z
La1 La 0.000 0.500 0.000
Ta1 Ta 0.000 0.000 0.500
Re1 Re 0.000 0.000 0.000
Ru1 Ru 0.500 0.500 0.500
# Energy of formation from the pure elements   1253 meV/atom

***

Entry 5:
# PBEsol AlCu2Ni, relaxed
data_AlCu2Ni
_chemical_formula_sum 'Al2 Cu4 Ni2'
_cell_length_a 3.498
_cell_length_b 3.498
_cell_length_c 7.541
_cell_angle_alpha 90.00
_cell_angle_beta 90.00
_cell_angle_gamma 90.00
_space_group_name_H-M_alt 'I 4/m m m'
_space_group_IT_number 139
_space_group_name_Hall '-I 4 2'
loop_
_atom_site_label
_atom_site_type_symbol
_atom_site_fract_x
_atom_site_fract_y
_atom_site_fract_z
Al1 Al 0.000 0.000 0.000
Cu1 Cu 0.000 0.500 0.250
Ni1 Ni 0.000 0.000 0.500
# Energy of formation from the pure elements   -276 meV/atom

***

Entry 6:
# PBEsol Na3FeAs, relaxed
data_Na3FeAs
_chemical_formula_sum 'Na3 Fe1 As1'
_cell_length_a 5.217
_cell_length_b 5.217
_cell_length_c 5.217
_cell_angle_alpha 90.00
_cell_angle_beta 90.00
_cell_angle_gamma 90.00
_space_group_name_H-M_alt 'P m -3 m'
_space_group_IT_number 221
_space_group_name_Hall '-P 4 2 3'
loop_
_atom_site_label
_atom_site_type_symbol
_atom_site_fract_x
_atom_site_fract_y
_atom_site_fract_z
Na1 Na 0.000 0.000 0.500
Fe1 Fe 0.000 0.000 0.000
As1 As 0.500 0.500 0.500
# Energy of formation from the pure elements   1019 meV/atom

***

Entry 7:
# PBEsol Tm2TiO5, relaxed
data_Tm2TiO5
_chemical_formula_sum 'Tm8 Ti4 O20'
_cell_length_a 3.996
_cell_length_b 10.785
_cell_length_c 10.280
_cell_angle_alpha 90.00
_cell_angle_beta 90.00
_cell_angle_gamma 90.00
_space_group_name_H-M_alt 'C m c m'
_space_group_IT_number 63
_space_group_name_Hall '-C 2c 2'
loop_
_atom_site_label
_atom_site_type_symbol
_atom_site_fract_x
_atom_site_fract_y
_atom_site_fract_z
Tm1 Tm 0.000 0.143 0.069
Ti1 Ti 0.000 0.172 0.750
O1 O 0.000 0.050 0.622
O2 O 0.000 0.273 0.250
O3 O 0.000 0.291 0.590
# Formation energy without anion corrections   -3.4529 eV/atom
# Polymorph energy (0 for the lowest one)   46.3 meV per atom

***

Entry 8:
# PBEsol SrRhS2, relaxed
data_SrRhS2
_chemical_formula_sum 'Sr3 Rh3 S6'
_cell_length_a 4.3896
_cell_length_b 4.3896
_cell_length_c 21.8826
_cell_angle_alpha 90.00
_cell_angle_beta 90.00
_cell_angle_gamma 120.00
_space_group_name_H-M_alt 'R -3 m'
_space_group_IT_number 166
_space_group_name_Hall '-R 3 2"'
loop_
_atom_site_label
_atom_site_type_symbol
_atom_site_fract_x
_atom_site_fract_y
_atom_site_fract_z
Sr1 Sr 0.0000 0.0000 0.0000
Rh1 Rh 0.0000 0.0000 0.5000
S1 S 0.0000 0.0000 0.4000
# Formation energy without anion corrections   -0.3435 eV/atom

***

Entry 9:
# PBEsol NaAlPt2, relaxed
data_NaAlPt2
_chemical_formula_sum 'Na4 Al4 Pt8'
_cell_length_a 7.095
_cell_length_b 7.095
_cell_length_c 5.483
_cell_angle_alpha 90.00
_cell_angle_beta 90.00
_cell_angle_gamma 90.00
_space_group_name_H-M_alt 'I -4 2 d'
_space_group_IT_number 122
_space_group_name_Hall 'I -4 2bw'
loop_
_atom_site_label
_atom_site_type_symbol
_atom_site_fract_x
_atom_site_fract_y
_atom_site_fract_z
Na1 Na 0.000 0.000 0.000
Al1 Al 0.000 0.000 0.500
Pt1 Pt 0.206 0.250 0.625
# Energy of formation from the pure elements   -200 meV/atom

***

Entry 10:
# PBEsol SiBTe2Ir, relaxed
data_SiBTe2Ir
_chemical_formula_sum 'Si1 B1 Te2 Ir1'
_cell_length_a 5.144
_cell_length_b 5.144
_cell_length_c 3.643
_cell_angle_alpha 90.00
_cell_angle_beta 90.00
_cell_angle_gamma 90.00
_space_group_name_H-M_alt 'P 4/m m m'
_space_group_IT_number 123
_space_group_name_Hall '-P 4 2'
loop_
_atom_site_label
_atom_site_type_symbol
_atom_site_fract_x
_atom_site_fract_y
_atom_site_fract_z
Si1 Si 0.000 0.000 0.000
B1 B 0.000 0.000 0.500
Te1 Te 0.000 0.500 0.000
Ir1 Ir 0.500 0.500 0.500
# Formation energy without anion corrections   1.1385 eV/atom

***

Entry 11:
# PBEsol MgCuW2, relaxed
data_MgCuW2
_chemical_formula_sum 'Mg2 Cu2 W4'
_cell_length_a 3.715
_cell_length_b 3.715
_cell_length_c 8.687
_cell_angle_alpha 90.00
_cell_angle_beta 90.00
_cell_angle_gamma 90.00
_space_group_name_H-M_alt 'I 4/m m m'
_space_group_IT_number 139
_space_group_name_Hall '-I 4 2'
loop_
_atom_site_label
_atom_site_type_symbol
_atom_site_fract_x
_atom_site_fract_y
_atom_site_fract_z
Mg1 Mg 0.000 0.000 0.000
Cu1 Cu 0.000 0.000 0.500
W1 W 0.000 0.500 0.250
# Energy of formation from the pure elements   429 meV/atom

***

Entry 12:
# PBEsol CsSr2Tl2, relaxed
data_CsSr2Tl2
_chemical_formula_sum 'Cs2 Sr4 Tl4'
_cell_length_a 6.120
_cell_length_b 6.120
_cell_length_c 12.859
_cell_angle_alpha 90.00
_cell_angle_beta 90.00
_cell_angle_gamma 90.00
_space_group_name_H-M_alt 'I 4/m m m'
_space_group_IT_number 139
_space_group_name_Hall '-I 4 2'
loop_
_atom_site_label
_atom_site_type_symbol
_atom_site_fract_x
_atom_site_fract_y
_atom_site_fract_z
Cs1 Cs 0.000 0.000 0.000
Sr1 Sr 0.000 0.000 0.343
Tl1 Tl 0.000 0.500 0.250
# Energy of formation from the pure elements   -2 meV/atom
# Polymorph energy (0 for the lowest one)   160.6 meV per atom

***

DFT total energy, respectively: -7.0673 -2.2305 -6.1855 -8.0962 -5.0051 -2.6349 -8.9988 -5.0302 -5.0543 -4.7893 -7.9875 -1.9788 eV per atom.